# 1
YTeMo2 | PBE-GGA | relaxed

a = 4.433 Å, b = 4.433 Å, c = 8.072 Å
α = 90.00°, β = 90.00°, γ = 90.00°
Space group I-4m2 (No. 119)
One atom of each set of equivalent atoms:
Y 0.000 0.000 0.000 (multiplicity 2)
Te 0.000 0.500 0.250 (multiplicity 2)
Mo 0.000 0.000 0.500 (multiplicity 2)
Mo 0.000 0.500 0.750 (multiplicity 2)

## Properties
**Uncorrected formation energy**: 326 meV per atom
**Total magnetization**: 0.0 μB per formula unit



# 2
LaOsW2 | PBE-GGA | relaxed

a = 2.8967 Å, b = 2.8967 Å, c = 30.3998 Å
α = 90.00°, β = 90.00°, γ = 120.00°
Space group R-3m (No. 166, hexagonal axes)
One atom of each set of equivalent atoms:
La 0.0000 0.0000 0.0000 (multiplicity 3)
Os 0.0000 0.0000 0.5000 (multiplicity 3)
W 0.0000 0.0000 0.2383 (multiplicity 6)

## Properties
**Energy relative to the elements**: 2.777 eV per formula unit
**Total magnetization**: 0.0 μB per formula unit



# 3
ZnINO2 | PBE-GGA | relaxed

a = 4.019 Å, b = 4.019 Å, c = 4.301 Å
α = 90.00°, β = 90.00°, γ = 90.00°
Space group P4/mmm (No. 123)
One atom of each set of equivalent atoms:
Zn 0.000 0.000 0.000 (multiplicity 1)
I 0.500 0.500 0.500 (multiplicity 1)
N 0.500 0.500 0.000 (multiplicity 1)
O 0.000 0.500 0.500 (multiplicity 2)

## Properties
**Uncorrected formation energy**: 723 meV per atom
**Total magnetization**: 0.0 μB per formula unit